{"formula": "Ta3NO6", "functional": "PBEsol", "state": "relaxed", "m_tot_mub_per_cell": 0.00, "volume_a3_per_cell": 413.0, "crystal_system": "monoclinic", "formation_energy_uncorrected_ev_per_atom": -2.582, "lattice_angstrom": [[10.360, -1.931, 0.000], [10.360, 1.931, 0.000], [-5.964, 0.000, 10.321]], "species": ["Ta", "Ta", "Ta", "Ta", "Ta", "Ta", "Ta", "Ta", "Ta", "N", "N", "N", "O", "O", "O", "O", "O", "O", "O", "O", "O", "O", "O", "O", "O", "O", "O", "O", "O", "O"], "frac_coords": [[0.000, 0.000, 0.000], [0.107, 0.107, 0.368], [0.524, 0.524, 0.629], [0.632, 0.632, 0.000], [0.710, 0.710, 0.625], [0.735, 0.735, 0.373], [0.815, 0.815, 0.998], [0.896, 0.896, 0.630], [0.924, 0.924, 0.372], [0.643, 0.643, 0.403], [0.791, 0.791, 0.580], [0.987, 0.987, 0.588], [0.020, 0.020, 0.376], [0.063, 0.063, 0.189], [0.106, 0.106, 0.997], [0.187, 0.187, 0.579], [0.217, 0.217, 0.370], [0.316, 0.316, 0.999], [0.414, 0.414, 0.623], [0.441, 0.441, 0.412], [0.525, 0.525, 0.001], [0.569, 0.569, 0.808], [0.608, 0.608, 0.611], [0.687, 0.687, 0.188], [0.717, 0.717, 0.988], [0.765, 0.765, 0.804], [0.839, 0.839, 0.412], [0.864, 0.864, 0.194], [0.915, 0.915, 0.011], [0.945, 0.945, 0.811]]}